(1)
## AgTeMoO2 (PBE+U)

Data for a geometry-optimized AgTeMoO2 structure.

Computed properties:
**E**: -4.042 eV/atom

The structure in CIF format:
```
data_AgTeMoO2
_chemical_formula_sum 'Ag1 Te1 Mo1 O2'
_cell_length_a 4.1559
_cell_length_b 4.1559
_cell_length_c 5.6537
_cell_angle_alpha 90.00
_cell_angle_beta 90.00
_cell_angle_gamma 90.00
_space_group_name_H-M_alt 'P 1'
_space_group_IT_number 1
_space_group_name_Hall 'P 1'
loop_
_atom_site_label
_atom_site_type_symbol
_atom_site_fract_x
_atom_site_fract_y
_atom_site_fract_z
Ag1 Ag 0.0000 0.0000 0.0000
Te1 Te 0.0000 0.0000 0.5000
Mo1 Mo 0.5000 0.5000 0.5000
O1 O 0.0000 0.5000 0.0000
O2 O 0.5000 0.0000 0.0000
```

=====

(2)
## Ag2TeMoO (PBE+U)

Data for a geometry-optimized Ag2TeMoO structure.

Computed properties:
**E**: -3.866 eV/atom

The structure in CIF format:
```
data_Ag2TeMoO
_chemical_formula_sum 'Ag2 Te1 Mo1 O1'
_cell_length_a 4.1879
_cell_length_b 4.1879
_cell_length_c 6.7713
_cell_angle_alpha 90.00
_cell_angle_beta 90.00
_cell_angle_gamma 90.00
_space_group_name_H-M_alt 'P 1'
_space_group_IT_number 1
_space_group_name_Hall 'P 1'
loop_
_atom_site_label
_atom_site_type_symbol
_atom_site_fract_x
_atom_site_fract_y
_atom_site_fract_z
Ag1 Ag 0.0000 0.5000 0.0000
Ag2 Ag 0.5000 0.0000 0.0000
Te1 Te 0.0000 0.0000 0.5000
Mo1 Mo 0.5000 0.5000 0.5000
O1 O 0.0000 0.0000 0.0000
```

=====

(3)
## Tl2AgMoO4 (PBE+U)

Data for a geometry-optimized Tl2AgMoO4 structure.

Computed properties:
**E**: -5.265 eV/atom

The structure in CIF format:
```
data_Tl2AgMoO4
_chemical_formula_sum 'Tl2 Ag1 Mo1 O4'
_cell_length_a 5.3659
_cell_length_b 5.5319
_cell_length_c 6.9221
_cell_angle_alpha 106.73
_cell_angle_beta 90.61
_cell_angle_gamma 114.82
_space_group_name_H-M_alt 'P 1'
_space_group_IT_number 1
_space_group_name_Hall 'P 1'
loop_
_atom_site_label
_atom_site_type_symbol
_atom_site_fract_x
_atom_site_fract_y
_atom_site_fract_z
Tl1 Tl 0.0000 0.0000 0.0000
Tl2 Tl 0.2377 0.4707 0.7107
Ag1 Ag 0.4284 0.0319 0.5921
Mo1 Mo 0.7661 0.5529 0.3357
O1 O 0.0824 0.7865 0.2698
O2 O 0.5019 0.3949 0.1190
O3 O 0.6587 0.7428 0.5520
O4 O 0.8182 0.2845 0.4062
```

=====

(4)
## TlAgMoO4 (PBE+U)

Data for a geometry-optimized TlAgMoO4 structure.

Computed properties:
**E**: -5.703 eV/atom

The structure in CIF format:
```
data_TlAgMoO4
_chemical_formula_sum 'Tl2 Ag2 Mo2 O8'
_cell_length_a 6.5650
_cell_length_b 6.6264
_cell_length_c 6.7653
_cell_angle_alpha 90.00
_cell_angle_beta 103.50
_cell_angle_gamma 90.00
_space_group_name_H-M_alt 'P 1'
_space_group_IT_number 1
_space_group_name_Hall 'P 1'
loop_
_atom_site_label
_atom_site_type_symbol
_atom_site_fract_x
_atom_site_fract_y
_atom_site_fract_z
Tl1 Tl 0.0524 0.2500 0.2587
Tl2 Tl 0.9476 0.7500 0.7413
Ag1 Ag 0.4406 0.7500 0.8539
Ag2 Ag 0.5594 0.2500 0.1461
Mo1 Mo 0.3979 0.7500 0.3020
Mo2 Mo 0.6021 0.2500 0.6980
O1 O 0.2642 0.7500 0.5048
O2 O 0.3221 0.5266 0.1427
O3 O 0.3221 0.9734 0.1427
O4 O 0.3273 0.2500 0.5947
O5 O 0.6727 0.7500 0.4053
O6 O 0.6779 0.0266 0.8573
O7 O 0.6779 0.4734 0.8573
O8 O 0.7358 0.2500 0.4952
```

=====

> Which formula does entry 1 have?

AgTeMoO2